! PBE BaLi2Se2, relaxed; values from VASP
! - total DFT energy (no corrections) (eV/atom) = -4.085
! - crystal system = tetragonal
! - E_form (uncorrected) (eV/f.u.) = -7.70
! - energy relative to the lowest polymorph listed for this composition (meV/atom) = 0.0
&SYSTEM
  ibrav = 0, nat = 5, ntyp = 3
/
ATOMIC_SPECIES
Ba 137.33 Ba.upf
Li 6.94 Li.upf
Se 78.96 Se.upf
CELL_PARAMETERS angstrom
-2.083 2.083 6.787
2.083 -2.083 6.787
2.083 2.083 -6.787
ATOMIC_POSITIONS crystal
Ba 0.000 0.000 0.000
Li 0.250 0.750 0.500
Li 0.750 0.250 0.500
Se 0.363 0.363 0.000
Se 0.637 0.637 0.000